# 1
DFT (PBE-GGA) results for a relaxed structure of KTl2AsSe4.

## Properties
The formation energy (no corrections) comes out at -357 meV/atom. The crystal system is orthorhombic. The value obtained for the theoretical density is 6.3 g/cm3. The total energy is -3.409 eV per atom.

Cell lengths 8.4868, 8.5946, 12.1386 Å; angles 90.00, 90.00, 90.00 degrees
Space group Imma (No. 74)
One atom of each set of equivalent atoms:
K1 0.0000 0.0000 0.0000 [4 per cell]
Tl1 0.0000 0.0000 0.5000 [4 per cell]
Tl2 0.2500 0.2500 0.2500 [4 per cell]
As1 0.2500 0.2500 0.7500 [4 per cell]
Se1 0.0000 0.0346 0.7408 [8 per cell]
Se2 0.2263 0.2500 0.5186 [8 per cell]



# 2
DFT (PBE-GGA) results for a relaxed structure of Cs3SI.

## Properties
The formation energy (no corrections) comes out at -1159 meV/atom. The crystal system is monoclinic. For the energy above the most stable polymorph in this dataset, the calculation gives 58 meV/atom. The value obtained for the theoretical density is 2.9 g/cm3. The total energy is -2.807 eV per atom.

Cell lengths 16.3247, 8.9842, 9.8099 Å; angles 90.00, 117.30, 90.00 degrees
Space group C2/m (No. 12)
One atom of each set of equivalent atoms:
Cs1 0.0730 0.0000 0.2358 [4 per cell]
Cs2 0.2040 0.2488 0.7666 [8 per cell]
S1 0.1555 0.0000 0.9784 [4 per cell]
I1 0.1622 0.5000 0.4036 [4 per cell]



Among the records above, which one has the lowest theoretical density?
Cs3SI



theoretical density of number 2 (Cs3SI)?
2.9 g/cm3



formation energy (no corrections) of number 2 (Cs3SI)?
-1159 meV/atom